# 1
A relaxed Ho8HgRh2 crystal. Source: Alexandria, functional PBE-GGA.

Lattice parameters (Å, degrees): 5.4621 7.8633 7.8633 114.24 97.87 97.87
Element x y z (fractional)
Ho 0.1925 0.3874 0.3874
Hg 0.0013 0.0028 0.0028
Ho 0.8070 0.6184 0.6184
Ho 0.4205 0.6720 0.9282
Ho 0.5794 0.0781 0.3344
Ho 0.4205 0.9282 0.6720
Rh 0.4997 0.3065 0.6995
Rh 0.4997 0.6995 0.3065
Ho 0.9999 0.7611 0.2455
Ho 0.5794 0.3344 0.0781
Ho 0.9999 0.2455 0.7611

Properties
* total energy: -5.064 eV/atom
* symmetry: No. 8
* DFT formation energy: -0.37 eV per atom

***

# 2
A relaxed In2Ag3SbSe6 crystal. Source: Alexandria, functional PBE-GGA.

Lattice parameters (Å, degrees): 4.0297 4.0297 19.9807 90.00 90.00 120.00
Element x y z (fractional)
Ag 0.6667 0.3333 0.8289
Se 0.6667 0.3333 0.5861
Ag 0.0000 0.0000 0.5000
Se 0.0000 0.0000 0.7481
Se 0.6667 0.3333 0.0860
Ag 0.3333 0.6667 0.1711
Se 0.3333 0.6667 0.9140
In 0.3333 0.6667 0.6654
Se 0.3333 0.6667 0.4139
Sb 0.0000 0.0000 0.0000
In 0.6667 0.3333 0.3346
Se 0.0000 0.0000 0.2519

Properties
* total energy: -3.538 eV/atom
* ΔE_f (raw): -0.283 eV per atom
* symmetry: No. 164

***

no.,total magnetization (μB per formula unit)
1,0.00
2,0.00